# 1
Material: Pr4ThSi4
Method: DFT, GGA-PBE
State: relaxed

a b c (Å): 9.221 9.221 6.031
angles (deg): 90.00 90.00 90.00
Atoms (fractional coordinates):
Pr 0.051 0.675 0.120
Pr 0.175 0.949 0.620
Pr 0.325 0.551 0.620
Pr 0.449 0.825 0.120
Pr 0.551 0.175 0.880
Pr 0.675 0.449 0.380
Pr 0.825 0.051 0.380
Pr 0.949 0.325 0.880
Th 0.250 0.250 0.250
Th 0.750 0.750 0.750
Si 0.013 0.613 0.609
Si 0.113 0.987 0.109
Si 0.387 0.513 0.109
Si 0.487 0.887 0.609
Si 0.513 0.113 0.391
Si 0.613 0.487 0.891
Si 0.887 0.013 0.891
Si 0.987 0.387 0.391

Properties
Its formation energy without anion corrections is -0.393 eV per atom.

# 2
Material: PuNiRh2
Method: DFT, GGA-PBE
State: relaxed

a b c (Å): 4.070 4.070 3.832
angles (deg): 90.00 90.00 90.00
Atoms (fractional coordinates):
Pu 0.000 0.000 0.000
Ni 0.500 0.500 0.000
Rh 0.000 0.500 0.500
Rh 0.500 0.000 0.500

Properties
The value obtained for the formation energy from the elements is -0.339 eV/atom.

# 3
Material: K3TaZn
Method: DFT, GGA-PBE
State: relaxed

a b c (Å): 6.814 6.814 6.814
angles (deg): 90.00 90.00 90.00
Atoms (fractional coordinates):
K 0.000 0.000 0.500
K 0.000 0.500 0.000
K 0.500 0.000 0.000
Ta 0.000 0.000 0.000
Zn 0.500 0.500 0.500

Properties
The calculation puts the excess energy over the best structure of this formula in the dataset at 10 meV per atom. The value obtained for the formation energy from the elements is 1.417 eV/atom.

# 4
Material: CsHfS3
Method: DFT, GGA-PBE
State: relaxed

a b c (Å): 6.929 7.006 8.539
angles (deg): 70.43 83.10 60.70
Atoms (fractional coordinates):
Cs 0.000 0.000 0.000
Cs 0.359 0.213 0.329
Hf 0.335 0.522 0.738
Hf 0.716 0.709 0.761
S 0.040 0.494 0.953
S 0.073 0.946 0.599
S 0.478 0.110 0.747
S 0.507 0.539 0.965
S 0.636 0.564 0.564
S 0.988 0.743 0.520

Properties
The calculation puts the excess energy over the best structure of this formula in the dataset at 54 meV per atom. Its formation energy without anion corrections is -1.343 eV per atom.

# 5
Material: Pm2CdSnO6
Method: DFT, GGA-PBE
State: relaxed

a b c (Å): 6.033 6.033 6.033
angles (deg): 57.88 57.88 57.88
Atoms (fractional coordinates):
Pm 0.000 0.000 0.000
Pm 0.497 0.497 0.497
Cd 0.226 0.226 0.226
Sn 0.714 0.714 0.714
O 0.067 0.443 0.828
O 0.351 0.903 0.604
O 0.443 0.828 0.067
O 0.604 0.351 0.903
O 0.828 0.067 0.443
O 0.903 0.604 0.351

Properties
Its formation energy without anion corrections is -2.396 eV per atom.

# 6
Material: LiYMn2Fe
Method: DFT, GGA-PBE
State: relaxed

a b c (Å): 5.179 5.179 4.831
angles (deg): 90.00 90.00 90.00
Atoms (fractional coordinates):
Li 0.000 0.000 0.000
Y 0.500 0.500 0.500
Mn 0.000 0.500 0.500
Mn 0.500 0.000 0.500
Fe 0.500 0.500 0.000

Properties
The value obtained for the formation energy from the elements is 1.518 eV/atom.

# 7
Material: AcDyEr2Se6
Method: DFT, GGA-PBE
State: relaxed

a b c (Å): 7.740 7.740 7.740
angles (deg): 56.71 56.71 56.71
Atoms (fractional coordinates):
Ac 0.000 0.000 0.000
Dy 0.486 0.486 0.486
Er 0.287 0.287 0.287
Er 0.794 0.794 0.794
Se 0.072 0.649 0.434
Se 0.189 0.570 0.894
Se 0.434 0.072 0.649
Se 0.570 0.894 0.189
Se 0.649 0.434 0.072
Se 0.894 0.189 0.570

Properties
Its formation energy without anion corrections is -1.875 eV per atom.

# 8
Material: Tm2ZnPt
Method: DFT, GGA-PBE
State: relaxed

a b c (Å): 3.503 3.503 6.855
angles (deg): 90.00 90.00 90.00
Atoms (fractional coordinates):
Tm 0.000 0.000 0.243
Tm 0.000 0.000 0.757
Zn 0.500 0.500 0.500
Pt 0.500 0.500 0.000

Properties
The calculation puts the excess energy over the best structure of this formula in the dataset at 0 meV per atom. The value obtained for the formation energy from the elements is -0.849 eV/atom.

# 9
Material: Tl2AgCl6
Method: DFT, GGA-PBE
State: relaxed

a b c (Å): 9.728 9.728 7.594
angles (deg): 107.85 107.85 82.06
Atoms (fractional coordinates):
Tl 0.112 0.337 0.326
Tl 0.337 0.112 0.826
Tl 0.663 0.888 0.174
Tl 0.888 0.663 0.674
Ag 0.430 0.570 0.750
Ag 0.570 0.430 0.250
Cl 0.121 0.163 0.977
Cl 0.147 0.536 0.731
Cl 0.163 0.121 0.477
Cl 0.318 0.494 0.360
Cl 0.464 0.853 0.769
Cl 0.494 0.318 0.860
Cl 0.506 0.682 0.140
Cl 0.536 0.147 0.231
Cl 0.682 0.506 0.640
Cl 0.837 0.879 0.523
Cl 0.853 0.464 0.269
Cl 0.879 0.837 0.023

Properties
The calculation puts the excess energy over the best structure of this formula in the dataset at 7 meV per atom. Its formation energy without anion corrections is -0.588 eV per atom.

# 10
Material: BeZn2Rh
Method: DFT, GGA-PBE
State: relaxed

a b c (Å): 2.843 3.563 5.109
angles (deg): 90.00 90.00 90.00
Atoms (fractional coordinates):
Be 0.000 0.000 0.000
Zn 0.500 0.500 0.245
Zn 0.500 0.500 0.755
Rh 0.000 0.000 0.500

Properties
The calculation puts the excess energy over the best structure of this formula in the dataset at 163 meV per atom. The value obtained for the formation energy from the elements is -0.126 eV/atom.

# 11
Material: Rb2Dy2PuS6
Method: DFT, GGA-PBE
State: relaxed

a b c (Å): 6.964 6.964 8.212
angles (deg): 98.28 98.28 119.92
Atoms (fractional coordinates):
Rb 0.169 0.831 0.000
Rb 0.831 0.169 0.000
Dy 0.334 0.666 0.500
Dy 0.666 0.334 0.500
Pu 0.000 0.000 0.500
S 0.061 0.390 0.686
S 0.262 0.262 0.315
S 0.390 0.061 0.686
S 0.610 0.939 0.314
S 0.738 0.738 0.685
S 0.939 0.610 0.314

Properties
Its formation energy without anion corrections is -1.740 eV per atom.

# 12
Material: ZrTaPtAu2
Method: DFT, GGA-PBE
State: relaxed

a b c (Å): 5.011 5.011 4.763
angles (deg): 90.00 90.00 90.00
Atoms (fractional coordinates):
Zr 0.000 0.000 0.000
Ta 0.500 0.500 0.000
Pt 0.500 0.500 0.500
Au 0.000 0.500 0.500
Au 0.500 0.000 0.500

Properties
The value obtained for the formation energy from the elements is 0.780 eV/atom.

# 13
Material: Mg4HgAu2
Method: DFT, GGA-PBE
State: relaxed

a b c (Å): 8.105 8.105 8.105
angles (deg): 33.49 33.49 33.49
Atoms (fractional coordinates):
Mg 0.119 0.119 0.119
Mg 0.371 0.371 0.371
Mg 0.629 0.629 0.629
Mg 0.881 0.881 0.881
Hg 0.500 0.500 0.500
Au 0.252 0.252 0.252
Au 0.748 0.748 0.748

Properties
The calculation puts the excess energy over the best structure of this formula in the dataset at 0 meV per atom. The value obtained for the formation energy from the elements is -0.426 eV/atom.

Number 1: E -5.75 eV/atom. Number 2: E -9.04 eV/atom. Number 3: E -1.87 eV/atom. Number 4: E -5.98 eV/atom. Number 5: E -6.81 eV/atom. Number 6: E -5.52 eV/atom. Number 7: E -5.75 eV/atom. Number 8: E -4.91 eV/atom. Number 9: E -2.66 eV/atom. Number 10: E -3.53 eV/atom. Number 11: E -6.31 eV/atom. Number 12: E -5.82 eV/atom. Number 13: E -2.32 eV/atom.